Computed, not measured: a geometry-optimized Cd2CoBr structure at the PBE-GGA level of DFT.

abc: 5.0929 5.0929 6.4591
angles: 76.61 76.61 37.62
With the nearest neighbours (Å) after each atom.
Fractional coordinates of all 4 atoms:
Br 0.8770 0.8770 0.6933  2 Co 2.45
Co 0.4619 0.4619 0.4082  2 Br 2.45, 3 Cd 2.66-2.74
Cd 0.1997 0.1997 0.3137  3 Co 2.74-2.76, 3 Cd 3.02-3.07
Cd 0.9614 0.9614 0.0848  2 Co 2.66, 1 Br 2.84

Properties
- total energy (eV per atom) = -2.542
- M_tot (μB/atom) = 0.351
- formation energy (no corrections) (eV per atom) = 0.1107
- E above lowest polymorph (kJ per mole of atoms) = 0.0